Density functional theory data (PBE-GGA) for a relaxed Fe2CuNi3 crystal. Values from VASP.

Properties
The total magnetic moment is 6.70 μB/f.u. As for the formation energy: -34 meV per atom.

Quantum ESPRESSO input file:
```
&SYSTEM
  ibrav = 0, nat = 6, ntyp = 3
/
ATOMIC_SPECIES
Ni 58.69 Ni.upf
Fe 55.84 Fe.upf
Cu 63.55 Cu.upf
CELL_PARAMETERS angstrom
-1.3383 0.7759 1.9897
0.3985 -2.2161 1.1322
8.8802 3.8761 4.4614
ATOMIC_POSITIONS angstrom
Ni 0.0000 0.0000 0.0000
Ni 2.9355 1.2813 1.4748
Ni 5.9447 2.5948 2.9866
Fe 1.0120 -0.0733 2.3055
Fe 6.9284 2.5091 5.2778
Cu 3.9702 1.2179 3.7916
```